No. 1
VASP calculation (meta-GGA SCAN) on LiCd2GaH at its PBEsol-relaxed geometry.

Values from the calculation:
SG   P4/mmm
M_tot   0.481 Bohr magnetons per cell
Final energy   -15.91 eV per atom

Cell: 4.567 4.798 4.798 Å, 90.00 90.00 90.00°
Atoms (fractional coordinates):
H (0.500, 0.500, 0.500)
Li (0.000, 0.000, 0.000)
Ga (0.500, 0.000, 0.000)
Cd (0.000, 0.000, 0.500)
Cd (0.000, 0.500, 0.000)

***

No. 2
VASP calculation (meta-GGA SCAN) on HfCd3Ga at its PBEsol-relaxed geometry.

Values from the calculation:
SG   Pm-3m
M_tot   1.771 Bohr magnetons per cell
Formation energy from the elements   1.0298 eV per atom

Cell: 5.478 5.478 5.478 Å, 90.00 90.00 90.00°
Atoms (fractional coordinates):
Hf (0.000, 0.000, 0.000)
Ga (0.500, 0.500, 0.500)
Cd (0.000, 0.500, 0.000)
Cd (0.000, 0.000, 0.500)
Cd (0.500, 0.000, 0.000)

***

No. 3
VASP calculation (meta-GGA SCAN) on Cd2Ga2Hg at its PBEsol-relaxed geometry.

Values from the calculation:
SG   I4/mmm
M_tot   0.000 Bohr magnetons per cell
Formation energy from the elements   0.0892 eV per atom

Cell: 3.926 3.926 7.424 Å, 105.33 105.33 90.00°
Atoms (fractional coordinates):
Hg (0.000, 0.000, 0.000)
Ga (0.250, 0.750, 0.500)
Ga (0.750, 0.250, 0.500)
Cd (0.399, 0.399, 0.798)
Cd (0.601, 0.601, 0.202)